a | A relaxed structure of Pr3Ho6Mg. Source: Alexandria, functional PBE-GGA.

Properties
space-group type	Cmc2_1, No. 36
DOS at the Fermi energy	13.2	states/eV/f.u.
density	7.16	g/cm³

abc: 9.368 8.455 8.455
angles: 95.62 90.00 90.00
Element x y z (fractional)
Pr: 0.318 0.360 0.640
Pr: 0.457 0.930 0.689
Pr: 0.457 0.311 0.070
Pr: 0.957 0.689 0.930
Pr: 0.957 0.070 0.311
Pr: 0.818 0.640 0.360
Ho: 0.649 0.610 0.734
Ho: 0.149 0.754 0.246
Ho: 0.649 0.266 0.390
Ho: 0.155 0.050 0.950
Ho: 0.149 0.390 0.266
Ho: 0.853 0.319 0.039
Ho: 0.655 0.950 0.050
Ho: 0.853 0.961 0.681
Ho: 0.149 0.734 0.610
Ho: 0.649 0.246 0.754
Ho: 0.353 0.039 0.319
Ho: 0.353 0.681 0.961
Mg: 0.445 0.625 0.375
Mg: 0.945 0.375 0.625

---

b | A relaxed structure of Pr3Ho6Mg. Source: Alexandria, functional PBE-GGA.

Properties
space-group type	P2_1/m, No. 11
DOS at the Fermi energy	15.3	states/eV/f.u.
density	7.47	g/cm³

abc: 5.097 11.095 11.298
angles: 91.34 90.00 90.00
Element x y z (fractional)
Ho: 0.250 0.150 0.192
Ho: 0.750 0.139 0.689
Ho: 0.750 0.954 0.104
Ho: 0.750 0.763 0.505
Ho: 0.250 0.658 0.701
Ho: 0.750 0.342 0.299
Ho: 0.250 0.861 0.311
Ho: 0.750 0.850 0.808
Ho: 0.250 0.046 0.896
Ho: 0.750 0.553 0.898
Ho: 0.250 0.447 0.102
Ho: 0.250 0.237 0.495
Pr: 0.250 0.346 0.794
Pr: 0.750 0.448 0.598
Pr: 0.750 0.246 0.994
Pr: 0.750 0.654 0.206
Pr: 0.250 0.754 0.006
Pr: 0.250 0.552 0.402
Mg: 0.750 0.052 0.395
Mg: 0.250 0.948 0.605

---

The structure with the most favorable energy is b; the runner-up is 0.164 eV/atom above it.

---

a | A relaxed structure of PrHo3Mg. Source: Alexandria, functional PBE-GGA.

Properties
space-group type	C2/c, No. 15
DOS at the Fermi energy	6.4	states/eV/f.u.
density	7.12	g/cm³

abc: 6.522 9.932 9.932
angles: 81.32 79.08 79.08
Element x y z (fractional)
Ho: 0.145 0.722 0.873
Ho: 0.645 0.873 0.722
Ho: 0.361 0.376 0.010
Ho: 0.639 0.624 0.990
Ho: 0.355 0.127 0.278
Ho: 0.459 0.207 0.596
Ho: 0.959 0.596 0.207
Ho: 0.855 0.278 0.127
Ho: 0.041 0.404 0.793
Ho: 0.541 0.793 0.404
Ho: 0.861 0.010 0.376
Ho: 0.139 0.990 0.624
Mg: 0.250 0.834 0.166
Mg: 0.750 0.926 0.074
Mg: 0.750 0.166 0.834
Mg: 0.250 0.074 0.926
Pr: 0.547 0.524 0.678
Pr: 0.047 0.678 0.524
Pr: 0.953 0.322 0.476
Pr: 0.453 0.476 0.322

---

b | A relaxed structure of PrHo3Mg. Source: Alexandria, functional PBE-GGA.

Properties
space-group type	P-1, No. 2
DOS at the Fermi energy	6.6	states/eV/f.u.
density	7.15	g/cm³

abc: 3.697 6.768 12.768
angles: 86.71 90.02 74.15
Element x y z (fractional)
Mg: 0.554 0.891 0.624
Mg: 0.446 0.109 0.376
Ho: 0.149 0.702 0.443
Ho: 0.036 0.929 0.187
Ho: 0.964 0.071 0.813
Ho: 0.634 0.733 0.977
Ho: 0.366 0.267 0.023
Ho: 0.851 0.298 0.557
Pr: 0.764 0.471 0.242
Pr: 0.236 0.529 0.758

---

The structure with the most favorable energy is b; the runner-up is 0.056 eV/atom above it.

---

a | A relaxed structure of PrHoMg4. Source: Alexandria, functional PBE-GGA.

Properties
space-group type	Immm, No. 71
DOS at the Fermi energy	4.9	states/eV/f.u.
density	4.16	g/cm³

abc: 5.270 6.245 6.249
angles: 94.22 65.06 65.04
Element x y z (fractional)
Ho: 0.000 0.000 0.000
Mg: 0.749 0.918 0.585
Mg: 0.748 0.585 0.918
Mg: 0.252 0.415 0.082
Mg: 0.251 0.082 0.415
Pr: 0.500 0.500 0.500

---

b | A relaxed structure of PrHoMg4. Source: Alexandria, functional PBE-GGA.

Properties
space-group type	C2/m, No. 12
DOS at the Fermi energy	7.3	states/eV/f.u.
density	4.18	g/cm³

abc: 3.443 7.180 8.676
angles: 122.89 78.56 76.13
Element x y z (fractional)
Mg: 0.845 0.477 0.833
Mg: 0.331 0.994 0.343
Mg: 0.669 0.006 0.657
Mg: 0.155 0.523 0.167
Ho: 0.500 0.500 0.500
Pr: 0.000 0.000 0.000

---

The structure with the most favorable energy is a; the runner-up is 0.032 eV/atom above it.